This record from Alexandria describes a relaxed structure of PW2Cl. The functional is PBE-GGA.

a = 6.229 Å, b = 6.229 Å, c = 6.229 Å
α = 125.81°, β = 125.81°, γ = 80.20°
Fractional positions:
1 P 0.000 0.000 0.000
2 P 0.750 0.250 0.500
3 W 0.127 0.625 0.002
4 W 0.375 0.377 0.502
5 W 0.623 0.125 0.998
6 W 0.875 0.873 0.498
7 Cl 0.250 0.750 0.500
8 Cl 0.500 0.500 0.000

Energy relative to the elements, uncorrected (eV per atom): 1.057
Calculated volume (Å³/atom): 19.17
Symmetry: I-42d, No. 122
Magnetic moment (Bohr magnetons per cell): 0.00